DFT (PBE) results for a relaxed La4H2Br5 crystal.

Calculated values
**Crystal system**: monoclinic
**Space group**: C2/m
**Uncorrected energy**: -4.5270 eV/atom

Lattice parameters (Å, degrees): 4.154 9.098 9.125 104.08 103.16 90.00
Positions (direct):
1 H 0.500 0.378 0.000
2 H 0.500 0.622 0.000
3 La 0.366 0.433 0.731
4 La 0.999 0.737 0.999
5 La 0.634 0.567 0.269
6 La 0.001 0.263 0.001
7 Br 0.177 0.345 0.354
8 Br 0.823 0.655 0.646
9 Br 0.173 0.823 0.346
10 Br 0.827 0.177 0.654
11 Br 0.500 0.000 0.000